Here is a relaxed Sr2NiF6 crystal from Alexandria via LeMat-Bulk. Energies are from PBE+U.

## Properties
- SG: I-42m (121)
- E: -45.75 eV/cell
- Volume: 17.72 Å³/atom
- N(E_F): 0.000 states/eV per cell

abc: 4.342 4.342 9.001
angles: 103.96 103.96 90.00
Site moments in Bohr magnetons follow the coordinates.
Positions (direct):
Sr1 0.828 0.828 0.656  0.00
Sr2 0.172 0.172 0.344  0.00
F1 0.635 0.635 0.837  0.03
F2 0.797 0.365 0.163  0.03
F3 0.365 0.797 0.163  0.03
F4 0.750 0.250 0.500  0.00
F5 0.250 0.750 0.500  0.00
F6 0.203 0.203 0.837  0.03
Ni1 0.500 0.500 0.000  1.82